5
Lattice="-1.9567 1.9567 6.8278 1.9567 -1.9567 6.8278 1.9567 1.9567 -6.8278" Properties=species:S:1:pos:R:3 comment="ZnIn2Pd2 (PBE, relaxed)" magnetic_moment_mub_per_fu=0.0 total_energy_ev_per_atom=-3.51 volume_a3_per_atom=20.9 ef_ev_per_fu=-0.4 pbc="T T T"
Zn 0.0000 0.0000 0.0000
In 0.0000 0.0000 5.3378
In 0.0000 0.0000 8.3178
Pd 1.9567 0.0000 3.4139
Pd 0.0000 1.9567 3.4139